MgMnIrO6 | PBE+U | relaxed

The structure in extended XYZ format:
```
18
Lattice="5.033 0.000 0.000 -2.516 4.359 0.000 0.000 0.000 8.631" Properties=species:S:1:pos:R:3 pbc="T T T"
Mg 0.000 2.906 2.158
Mg 2.516 1.453 6.473
Mn 0.000 0.000 0.000
Mn 0.000 0.000 4.315
Ir 0.000 2.906 6.473
Ir 2.516 1.453 2.158
O -0.789 1.509 5.390
O -1.604 2.921 7.556
O 0.789 1.509 7.556
O -0.815 4.287 5.390
O 1.702 0.072 1.075
O 0.913 1.438 3.241
O 1.604 2.921 5.390
O 0.815 4.287 7.556
O 3.331 0.072 3.241
O 1.728 2.849 1.075
O 4.120 1.438 1.075
O 3.305 2.849 3.241
```

Calculated values
Fermi-level density of states   0.577 states/eV/atom
Uncorrected energy   -6.51 eV per atom